1.
This record from Alexandria describes VMoPt after structural relaxation. The functional is PBE.

## Properties
**Energy of formation from the pure elements**: -0.072 eV/atom
**Electronic total energy**: -8.736 eV/atom
**Energy above the lowest structure with this stoichiometry**: 208 meV per atom

Unit cell a=4.069 b=2.685 c=8.389 alpha=80.79 beta=90.00 gamma=90.00
Atoms (fractional coordinates):
V (0.250, 0.461, 0.077)
V (0.750, 0.539, 0.923)
Mo (0.750, 0.876, 0.248)
Mo (0.250, 0.124, 0.752)
Pt (0.750, 0.703, 0.594)
Pt (0.250, 0.297, 0.406)

***

2.
This record from Alexandria describes TiNb3S4 after structural relaxation. The functional is PBE.

## Properties
**ΔE_f (raw)**: -806 meV/atom
**Electronic total energy**: -7.633 eV/atom

Unit cell a=5.986 b=4.900 c=9.367 alpha=90.00 beta=90.00 gamma=90.00
Atoms (fractional coordinates):
S (0.548, 0.214, 0.000)
S (0.681, 0.297, 0.500)
S (0.181, 0.703, 0.000)
S (0.048, 0.786, 0.500)
S (0.112, 0.176, 0.761)
S (0.612, 0.824, 0.261)
S (0.612, 0.824, 0.739)
S (0.112, 0.176, 0.239)
Ti (0.447, 0.737, 0.500)
Ti (0.947, 0.263, 0.000)
Nb (0.495, 0.336, 0.270)
Nb (0.995, 0.664, 0.230)
Nb (0.495, 0.336, 0.730)
Nb (0.624, 0.704, 0.000)
Nb (0.124, 0.296, 0.500)
Nb (0.995, 0.664, 0.770)

***

3.
This record from Alexandria describes Li2LaTc after structural relaxation. The functional is PBE.

## Properties
**Energy of formation from the pure elements**: 0.336 eV/atom
**Electronic total energy**: -4.445 eV/atom
**Energy above the lowest structure with this stoichiometry**: 102 meV per atom

Unit cell a=3.217 b=3.584 c=7.375 alpha=90.00 beta=90.00 gamma=90.00
Atoms (fractional coordinates):
Li (0.500, 0.500, 0.271)
Li (0.000, 0.000, 0.077)
La (0.500, 0.500, 0.693)
Tc (0.000, 0.000, 0.459)

***

4.
This record from Alexandria describes Be2AlNi2 after structural relaxation. The functional is PBE.

## Properties
**Energy of formation from the pure elements**: -0.448 eV/atom
**Electronic total energy**: -4.999 eV/atom
**Energy above the lowest structure with this stoichiometry**: 0 meV per atom

Unit cell a=6.214 b=6.214 c=2.604 alpha=90.00 beta=90.00 gamma=90.00
Atoms (fractional coordinates):
Be (0.879, 0.621, 0.000)
Be (0.621, 0.121, 0.000)
Be (0.379, 0.879, 0.000)
Be (0.121, 0.379, 0.000)
Al (0.000, 0.000, 0.000)
Al (0.500, 0.500, 0.000)
Ni (0.672, 0.828, 0.500)
Ni (0.328, 0.172, 0.500)
Ni (0.172, 0.672, 0.500)
Ni (0.828, 0.328, 0.500)

***

5.
This record from Alexandria describes HIrS2 after structural relaxation. The functional is PBE.

## Properties
**Electronic total energy**: -5.127 eV/atom
**Energy above the lowest structure with this stoichiometry**: 280 meV per atom

Unit cell a=12.627 b=6.498 c=6.498 alpha=85.83 beta=97.58 gamma=82.42
Atoms (fractional coordinates):
H (0.326, 0.273, 0.946)
H (0.920, 0.331, 0.518)
H (0.674, 0.727, 0.054)
H (0.826, 0.554, 0.227)
H (0.420, 0.982, 0.169)
H (0.580, 0.018, 0.831)
H (0.080, 0.669, 0.482)
H (0.174, 0.446, 0.773)
S (0.552, 0.535, 0.387)
S (0.934, 0.303, 0.314)
S (0.750, 0.086, 0.586)
S (0.189, 0.478, 0.269)
S (0.250, 0.914, 0.414)
S (0.434, 0.186, 0.197)
S (0.250, 0.264, 0.764)
S (0.811, 0.522, 0.731)
S (0.689, 0.231, 0.022)
S (0.052, 0.113, 0.965)
S (0.948, 0.887, 0.035)
S (0.566, 0.814, 0.803)
S (0.750, 0.736, 0.236)
S (0.066, 0.697, 0.686)
S (0.448, 0.465, 0.613)
S (0.311, 0.769, 0.978)
Ir (0.168, 0.967, 0.751)
Ir (0.616, 0.187, 0.315)
Ir (0.668, 0.749, 0.533)
Ir (0.116, 0.185, 0.313)
Ir (0.332, 0.251, 0.467)
Ir (0.384, 0.813, 0.685)
Ir (0.884, 0.815, 0.687)
Ir (0.832, 0.033, 0.249)

***

6.
This record from Alexandria describes Np2AsH2S after structural relaxation. The functional is PBE.

## Properties
**Electronic total energy**: -7.682 eV/atom

Unit cell a=3.827 b=3.827 c=7.337 alpha=90.00 beta=90.00 gamma=120.00
Atoms (fractional coordinates):
H (0.667, 0.333, 0.245)
H (0.333, 0.667, 0.755)
S (0.000, 0.000, 0.000)
Np (0.667, 0.333, 0.757)
Np (0.333, 0.667, 0.243)
As (0.000, 0.000, 0.500)

***

7.
This record from Alexandria describes LuZr2Re after structural relaxation. The functional is PBE.

## Properties
**Energy of formation from the pure elements**: 0.049 eV/atom
**Electronic total energy**: -8.467 eV/atom
**Energy above the lowest structure with this stoichiometry**: 75 meV per atom

Unit cell a=4.889 b=4.889 c=4.889 alpha=60.00 beta=60.00 gamma=60.00
Atoms (fractional coordinates):
Re (0.000, 0.000, 0.000)
Zr (0.750, 0.750, 0.750)
Zr (0.250, 0.250, 0.250)
Lu (0.500, 0.500, 0.500)

***

8.
This record from Alexandria describes Nd8Zn2Sn after structural relaxation. The functional is PBE.

## Properties
**Energy of formation from the pure elements**: -0.224 eV/atom
**Electronic total energy**: -4.287 eV/atom

Unit cell a=5.073 b=8.225 c=9.046 alpha=113.54 beta=106.29 gamma=90.00
Atoms (fractional coordinates):
Nd (0.400, 0.536, 0.801)
Nd (0.165, 0.245, 0.331)
Nd (0.680, 0.959, 0.359)
Nd (0.047, 0.746, 0.094)
Nd (0.600, 0.464, 0.199)
Nd (0.835, 0.755, 0.669)
Nd (0.953, 0.254, 0.906)
Nd (0.320, 0.041, 0.641)
Zn (0.205, 0.652, 0.410)
Zn (0.795, 0.348, 0.590)
Sn (0.500, 0.000, 0.000)